No. 1
{"formula": "GdErAlOs", "functional": "PBE", "state": "relaxed", "crystal_system": "cubic", "n_ef_per_ev_fu": 1.8, "formation_enthalpy_0k_kcal_per_mol_atoms": -6.05, "vol_a3_per_cell": 85.2, "total_energy_ev_per_atom": -8.67, "magmom_total_mub_per_atom": 1.74, "lattice": [[-0.828, -0.882, -4.788], [3.537, -2.033, -2.784], [-0.487, -4.644, -1.607]], "species": ["Gd", "Os", "Al", "Er"], "frac_coords": [[0.000, 0.000, 0.000], [0.750, 0.750, 0.750], [0.250, 0.250, 0.250], [0.500, 0.500, 0.500]]}

***

No. 2
{"formula": "GdErAlPb", "functional": "PBE", "state": "relaxed", "crystal_system": "cubic", "n_ef_per_ev_fu": 2.8, "formation_enthalpy_0k_kcal_per_mol_atoms": -7.72, "vol_a3_per_cell": 105.0, "total_energy_ev_per_atom": -6.86, "magmom_total_mub_per_atom": 1.77, "lattice": [[-2.814, -0.775, -4.418], [-0.041, -4.764, -2.311], [-4.381, -2.972, 0.138]], "species": ["Pb", "Gd", "Al", "Er"], "frac_coords": [[0.250, 0.250, 0.250], [0.000, 0.000, 0.000], [0.750, 0.750, 0.750], [0.500, 0.500, 0.500]]}

***

No. 3
{"formula": "GdErAlPd", "functional": "PBE", "state": "relaxed", "crystal_system": "cubic", "n_ef_per_ev_fu": 3.0, "formation_enthalpy_0k_kcal_per_mol_atoms": -13.20, "vol_a3_per_cell": 91.5, "total_energy_ev_per_atom": -7.47, "magmom_total_mub_per_atom": 1.79, "lattice": [[-3.964, 2.443, 1.977], [-3.478, -2.547, 2.646], [-0.337, 0.638, 5.007]], "species": ["Gd", "Al", "Pd", "Er"], "frac_coords": [[0.500, 0.500, 0.500], [0.750, 0.750, 0.750], [0.250, 0.250, 0.250], [0.000, 0.000, 0.000]]}

***

No. 4
{"formula": "PrGdErAl", "functional": "PBE", "state": "relaxed", "crystal_system": "cubic", "n_ef_per_ev_fu": 5.2, "formation_enthalpy_0k_kcal_per_mol_atoms": -1.72, "vol_a3_per_cell": 112.6, "total_energy_ev_per_atom": -6.87, "magmom_total_mub_per_atom": 2.02, "lattice": [[-4.946, -1.724, 1.394], [-3.051, -2.675, -3.594], [-0.939, -5.298, 0.653]], "species": ["Pr", "Gd", "Al", "Er"], "frac_coords": [[0.000, 0.000, 0.000], [0.500, 0.500, 0.500], [0.250, 0.250, 0.250], [0.750, 0.750, 0.750]]}

***

No. 5
{"formula": "SmGdErAl", "functional": "PBE", "state": "relaxed", "crystal_system": "cubic", "n_ef_per_ev_fu": 4.7, "formation_enthalpy_0k_kcal_per_mol_atoms": -1.77, "vol_a3_per_cell": 110.0, "total_energy_ev_per_atom": -6.85, "magmom_total_mub_per_atom": 2.02, "lattice": [[-1.923, 5.015, -0.274], [-2.366, 1.730, -4.510], [-5.311, 0.842, -0.098]], "species": ["Gd", "Al", "Sm", "Er"], "frac_coords": [[0.000, 0.000, 0.000], [0.250, 0.250, 0.250], [0.500, 0.500, 0.500], [0.750, 0.750, 0.750]]}

***

No. 6
{"formula": "GdErAlSn", "functional": "PBE", "state": "relaxed", "crystal_system": "cubic", "n_ef_per_ev_fu": 2.7, "formation_enthalpy_0k_kcal_per_mol_atoms": -10.42, "vol_a3_per_cell": 101.3, "total_energy_ev_per_atom": -7.05, "magmom_total_mub_per_atom": 1.72, "lattice": [[5.233, 0.000, 0.000], [2.616, 4.532, 0.000], [2.616, 1.511, 4.273]], "species": ["Al", "Gd", "Sn", "Er"], "frac_coords": [[0.750, 0.750, 0.750], [0.500, 0.500, 0.500], [0.250, 0.250, 0.250], [0.000, 0.000, 0.000]]}